# 1
Here is Ca2ZnSnH after structural relaxation from Alexandria via LeMat-Bulk. Energies are from PBE-GGA.

a = 4.821 Å, b = 4.821 Å, c = 4.460 Å
α = 90.00°, β = 90.00°, γ = 90.00°
Element x y z (fractional)
1 Ca 0.000 0.500 0.000
2 Ca 0.500 0.000 0.000
3 Zn 0.000 0.000 0.500
4 Sn 0.500 0.500 0.500
5 H 0.000 0.000 0.000

Space group   P4/mmm (123)
E_tot   -14.6 eV/f.u.
N(E_F)   1.88 states/eV/f.u.

***

# 2
Here is BaO4 after structural relaxation from Alexandria via LeMat-Bulk. Energies are from PBE-GGA.

a = 5.254 Å, b = 8.527 Å, c = 6.824 Å
α = 90.00°, β = 91.87°, γ = 90.00°
Element x y z (fractional)
1 Ba 0.250 0.098 0.250
2 Ba 0.250 0.402 0.750
3 Ba 0.750 0.598 0.250
4 Ba 0.750 0.902 0.750
5 O 0.152 0.709 0.964
6 O 0.152 0.791 0.464
7 O 0.182 0.082 0.834
8 O 0.182 0.418 0.334
9 O 0.324 0.084 0.667
10 O 0.324 0.416 0.167
11 O 0.344 0.710 0.539
12 O 0.344 0.790 0.039
13 O 0.656 0.210 0.961
14 O 0.656 0.290 0.461
15 O 0.676 0.584 0.833
16 O 0.676 0.916 0.333
17 O 0.818 0.582 0.666
18 O 0.818 0.918 0.166
19 O 0.848 0.209 0.536
20 O 0.848 0.291 0.036

Space group   P2_1/c (14)
E_tot   -27.2 eV/f.u.
N(E_F)   3.29 states/eV/f.u.

***

# 3
Here is PmPuAg2 after structural relaxation from Alexandria via LeMat-Bulk. Energies are from PBE-GGA.

a = 10.516 Å, b = 10.516 Å, c = 10.516 Å
α = 18.22°, β = 18.22°, γ = 18.22°
Element x y z (fractional)
1 Pm 0.000 0.000 0.000
2 Pu 0.500 0.500 0.500
3 Ag 0.250 0.250 0.250
4 Ag 0.750 0.750 0.750

Space group   R-3m (166)
E_tot   -24.3 eV/f.u.
N(E_F)   10.43 states/eV/f.u.
Calculated formation energy   0.128 eV/atom

***

# 4
Here is Dy4In5Ir2 after structural relaxation from Alexandria via LeMat-Bulk. Energies are from PBE-GGA.

a = 7.691 Å, b = 3.657 Å, c = 9.656 Å
α = 90.00°, β = 94.15°, γ = 90.00°
Element x y z (fractional)
1 Dy 0.174 0.000 0.350
2 Dy 0.216 0.000 0.943
3 Dy 0.784 0.000 0.057
4 Dy 0.826 0.000 0.650
5 In 0.175 0.500 0.650
6 In 0.453 0.500 0.175
7 In 0.500 0.500 0.500
8 In 0.547 0.500 0.825
9 In 0.825 0.500 0.350
10 Ir 0.075 0.500 0.141
11 Ir 0.925 0.500 0.859

Space group   P2/m (10)
E_tot   -56.3 eV/f.u.
N(E_F)   7.88 states/eV/f.u.
Calculated formation energy   -0.587 eV/atom

***

# 5
Here is ZrCu2Pb after structural relaxation from Alexandria via LeMat-Bulk. Energies are from PBE-GGA.

a = 4.261 Å, b = 4.261 Å, c = 4.012 Å
α = 90.00°, β = 90.00°, γ = 90.10°
Element x y z (fractional)
1 Zr 0.000 0.000 0.000
2 Cu 0.000 0.500 0.500
3 Cu 0.500 0.000 0.500
4 Pb 0.500 0.500 0.000

Space group   Cmmm (65)
E_tot   -20.4 eV/f.u.
N(E_F)   3.22 states/eV/f.u.
Calculated formation energy   0.010 eV/atom

***

# 6
Here is Ac15PmY4 after structural relaxation from Alexandria via LeMat-Bulk. Energies are from PBE-GGA.

a = 5.512 Å, b = 5.512 Å, c = 27.417 Å
α = 90.00°, β = 90.00°, γ = 90.00°
Element x y z (fractional)
1 Ac 0.000 0.000 0.000
2 Ac 0.000 0.000 0.200
3 Ac 0.000 0.000 0.400
4 Ac 0.000 0.000 0.600
5 Ac 0.000 0.000 0.800
6 Ac 0.000 0.500 0.100
7 Ac 0.000 0.500 0.300
8 Ac 0.000 0.500 0.500
9 Ac 0.000 0.500 0.700
10 Ac 0.000 0.500 0.900
11 Ac 0.500 0.000 0.100
12 Ac 0.500 0.000 0.300
13 Ac 0.500 0.000 0.500
14 Ac 0.500 0.000 0.700
15 Ac 0.500 0.000 0.900
16 Pm 0.500 0.500 0.000
17 Y 0.500 0.500 0.200
18 Y 0.500 0.500 0.400
19 Y 0.500 0.500 0.600
20 Y 0.500 0.500 0.800

Space group   P4/mmm (123)
E_tot   -91.7 eV/f.u.
N(E_F)   24.14 states/eV/f.u.
Calculated formation energy   0.026 eV/atom